1.
! CaScTeN2 (PBE, relaxed); values from VASP
! total magnetization = 2.85 μB per formula unit
! D(E_F) = 3.225 states/eV/f.u.
! total energy = -0.209 Ha/atom
! excess energy over the best structure of this formula in the dataset = 0 meV/atom
! E_form (uncorrected) = -6.8 kJ per mole of atoms
! symmetry = P4/mmm, No. 123
&SYSTEM
  ibrav = 0, nat = 5, ntyp = 4
/
ATOMIC_SPECIES
Sc 44.96 Sc.upf
N 14.01 N.upf
Ca 40.08 Ca.upf
Te 127.60 Te.upf
CELL_PARAMETERS angstrom
-4.1712 -1.2321 0.0015
1.1425 -3.8699 -1.6233
0.6113 -2.0629 5.3481
ATOMIC_POSITIONS crystal
Sc 0.0000 0.0000 0.0000
N 0.0000 0.5000 0.0000
N 0.5000 0.0000 0.0000
Ca 0.5000 0.5000 0.5000
Te 0.0000 0.0000 0.5000

2.
! HfNb2CdN (PBE, relaxed); values from VASP
! total magnetization = 0.00 μB per formula unit
! D(E_F) = 3.608 states/eV/f.u.
! total energy = -0.307 Ha/atom
! excess energy over the best structure of this formula in the dataset = 0 meV/atom
! E_form (uncorrected) = -46.2 kJ per mole of atoms
! symmetry = P4/mmm, No. 123
&SYSTEM
  ibrav = 0, nat = 5, ntyp = 4
/
ATOMIC_SPECIES
N 14.01 N.upf
Hf 178.49 Hf.upf
Nb 92.91 Nb.upf
Cd 112.41 Cd.upf
CELL_PARAMETERS angstrom
4.2821 0.0000 0.0000
0.0000 4.2821 0.0000
0.0000 0.0000 4.5457
ATOMIC_POSITIONS crystal
N 0.0000 0.0000 0.0000
Hf 0.0000 0.0000 0.5000
Nb 0.5000 0.0000 0.0000
Nb 0.0000 0.5000 0.0000
Cd 0.5000 0.5000 0.5000

3.
! La3HgPb (PBE, relaxed); values from VASP
! E_form = -7.6 meV per atom
! total magnetization = 0.00 μB per formula unit
! D(E_F) = 5.248 states/eV/f.u.
! total energy = -0.138 Ha/atom
! excess energy over the best structure of this formula in the dataset = 320 meV/atom
! symmetry = Pm-3m, No. 221
&SYSTEM
  ibrav = 0, nat = 5, ntyp = 3
/
ATOMIC_SPECIES
Hg 200.59 Hg.upf
La 138.91 La.upf
Pb 207.20 Pb.upf
CELL_PARAMETERS angstrom
-2.4915 -4.7573 2.4320
2.7029 1.1925 5.1016
-4.6088 3.2711 1.6772
ATOMIC_POSITIONS crystal
Hg 0.0000 0.0000 0.0000
La 0.0000 0.5000 0.0000
La 0.0000 0.0000 0.5000
La 0.5000 0.0000 0.0000
Pb 0.5000 0.5000 0.5000

4.
! Nd6SnTe3Ir2 (PBE, relaxed); values from VASP
! total magnetization = 0.00 μB per formula unit
! D(E_F) = 6.158 states/eV/f.u.
! total energy = -0.221 Ha/atom
! E_form (uncorrected) = -98.8 kJ per mole of atoms
! symmetry = C2/m, No. 12
&SYSTEM
  ibrav = 0, nat = 12, ntyp = 4
/
ATOMIC_SPECIES
Nd 144.24 Nd.upf
Te 127.60 Te.upf
Ir 192.22 Ir.upf
Sn 118.71 Sn.upf
CELL_PARAMETERS angstrom
4.3139 0.0000 0.0000
0.0000 9.0709 0.0461
-2.1569 -2.9051 9.3613
ATOMIC_POSITIONS crystal
Nd 0.0132 0.2561 0.0264
Nd 0.6789 0.5611 0.3578
Nd 0.3306 0.8852 0.6611
Nd 0.3211 0.4389 0.6422
Nd 0.9868 0.7439 0.9736
Nd 0.6694 0.1148 0.3389
Te 0.1612 0.8327 0.3224
Te 0.5000 0.5000 0.0000
Te 0.8388 0.1673 0.6776
Ir 0.1683 0.3331 0.3367
Ir 0.8317 0.6669 0.6633
Sn 0.5000 0.0000 0.0000

5.
! In2Ir (PBE, relaxed); values from VASP
! E_form = 949.7 meV per atom
! total magnetization = 0.00 μB per formula unit
! D(E_F) = 2.476 states/eV/f.u.
! total energy = -0.141 Ha/atom
! symmetry = Fd-3m, No. 227
&SYSTEM
  ibrav = 0, nat = 6, ntyp = 2
/
ATOMIC_SPECIES
In 114.82 In.upf
Ir 192.22 Ir.upf
CELL_PARAMETERS angstrom
1.1271 0.4435 5.4310
-3.6865 -1.7941 3.7621
1.0805 -4.5610 2.9988
ATOMIC_POSITIONS crystal
In 0.1250 0.1250 0.6250
In 0.1250 0.1250 0.1250
In 0.1250 0.6250 0.1250
In 0.6250 0.1250 0.1250
Ir 0.5000 0.5000 0.5000
Ir 0.7500 0.7500 0.7500

6.
! In12Hg3Pb (PBE, relaxed); values from VASP
! E_form = 24.0 meV per atom
! total magnetization = 0.00 μB per formula unit
! D(E_F) = 7.293 states/eV/f.u.
! total energy = -0.085 Ha/atom
! symmetry = P4/mmm, No. 123
&SYSTEM
  ibrav = 0, nat = 16, ntyp = 3
/
ATOMIC_SPECIES
In 114.82 In.upf
Hg 200.59 Hg.upf
Pb 207.20 Pb.upf
CELL_PARAMETERS angstrom
-0.0562 -4.1397 -2.5003
1.4649 -2.3976 3.9366
-17.5610 -2.7111 4.8836
ATOMIC_POSITIONS crystal
In 0.5000 0.0000 0.3761
In 0.0000 0.5000 0.8707
In 0.5000 0.0000 0.1293
In 0.5000 0.0000 0.6239
In 0.5000 0.0000 0.8707
In 0.5000 0.5000 0.5000
In 0.5000 0.5000 0.0000
In 0.5000 0.5000 0.7476
In 0.5000 0.5000 0.2524
In 0.0000 0.5000 0.6239
In 0.0000 0.5000 0.1293
In 0.0000 0.5000 0.3761
Hg 0.0000 0.0000 0.2538
Hg 0.0000 0.0000 0.7462
Hg 0.0000 0.0000 0.5000
Pb 0.0000 0.0000 0.0000